The following is a DFT calculation (PBE) of CeSe2 after structural relaxation.

Calculated values
**Calculated density**: 4.98 g cm⁻³
**Raw total energy**: -0.208 hartree per atom
**DOS at the Fermi energy**: 0.5 states/eV/f.u.

```
CeSe2
1.0
-7.405 1.957 1.001
-6.618 0.419 -2.705
-1.919 -2.281 2.799
Se Ce
2 1
direct
0.614 0.140 0.860
0.860 0.386 0.614
0.070 0.930 0.070
```